(1)
# SmZnCu2Ni2 (GGA-PBE, relaxed)
# - E_form (kJ/mol of atoms) = 19
data_SmZnCu2Ni2
_chemical_formula_sum 'Sm1 Zn1 Cu2 Ni2'
_cell_length_a 4.382
_cell_length_b 4.382
_cell_length_c 5.371
_cell_angle_alpha 90.00
_cell_angle_beta 90.00
_cell_angle_gamma 90.00
_symmetry_space_group_name_H-M 'P 4/m m m'
_symmetry_Int_Tables_number 123
_symmetry_space_group_name_Hall '-P 4 2'
loop_
_atom_site_label
_atom_site_type_symbol
_atom_site_fract_x
_atom_site_fract_y
_atom_site_fract_z
Sm1 Sm 0.000 0.000 0.000
Zn1 Zn 0.000 0.000 0.500
Cu1 Cu 0.500 0.500 0.248
Ni1 Ni 0.000 0.500 0.500



(2)
# Mg2ScRh (GGA-PBE, relaxed)
# - E_form (kJ/mol of atoms) = -24
data_Mg2ScRh
_chemical_formula_sum 'Mg2 Sc1 Rh1'
_cell_length_a 3.108
_cell_length_b 4.145
_cell_length_c 5.758
_cell_angle_alpha 90.00
_cell_angle_beta 90.00
_cell_angle_gamma 90.00
_symmetry_space_group_name_H-M 'P m m m'
_symmetry_Int_Tables_number 47
loop_
_symmetry_equiv_pos_as_xyz
'x,y,z'
'-x,-y,-z'
'-x,-y,z'
'x,y,-z'
'x,-y,-z'
'-x,y,z'
'-x,y,-z'
'x,-y,z'
loop_
_atom_site_label
_atom_site_type_symbol
_atom_site_fract_x
_atom_site_fract_y
_atom_site_fract_z
Mg1 Mg 0.000 0.000 0.225
Sc1 Sc 0.500 0.500 0.500
Rh1 Rh 0.500 0.500 0.000



These records have magnetization values of 0.00, 0.00 μB per formula unit, in the order they appear.
These records have mass density values of 7.41, 4.40 g/cm³, in the order they appear.